# Li12ZnCd6

A geometry-optimized Li12ZnCd6 structure (GGA-PBE, Alexandria via LeMat-Bulk).

a = 10.1527 Å, b = 10.1527 Å, c = 12.2014 Å
α = 90.00°, β = 90.00°, γ = 120.00°
Space group R-3 (No. 148, hexagonal axes)
Unique sites:
Li 0.0360 0.8510 0.3135 x18
Li 0.0609 0.2139 0.9118 x18
Zn 0.0000 0.0000 0.5000 x3
Cd 0.0217 0.5891 0.2073 x18

- E: -1.7350 eV per atom
- ΔE_f: -3.235 eV per formula unit
- Crystal system: trigonal
- E above lowest polymorph: 17 meV/atom